# 1
## Sr2Ga5Pt (PBE)

Data for Sr2Ga5Pt after structural relaxation.

Values from the calculation:
For the formation energy, the calculation gives -0.446 eV/atom. The calculation puts the distance to the lowest polymorph of the same formula at 0.91 eV/f.u. As for the crystal system: tetragonal. The total energy comes out at -3.5134 eV/atom.

CIF file:
```
data_Sr2Ga5Pt
_cell_length_a 6.140
_cell_length_b 6.140
_cell_length_c 10.361
_cell_angle_alpha 90.00
_cell_angle_beta 90.00
_cell_angle_gamma 90.00
_symmetry_space_group_name_H-M 'I 4 m m'
_symmetry_Int_Tables_number 107
_symmetry_space_group_name_Hall 'I 4 -2'
loop_
_atom_site_label
_atom_site_fract_x
_atom_site_fract_y
_atom_site_fract_z
_atom_site_occupancy
Sr1 0.000 0.500 0.000 1
Ga1 0.000 0.000 0.068 1
Ga2 0.218 0.218 0.257 1
Pt1 0.000 0.000 0.824 1
```

=====

# 2
## Li2CaC2 (PBE)

Data for Li2CaC2 after structural relaxation.

Values from the calculation:
For the formation energy, the calculation gives 0.977 eV/atom. The calculation puts the distance to the lowest polymorph of the same formula at 4.32 eV/f.u. As for the crystal system: tetragonal. The total energy comes out at -3.8785 eV/atom.

CIF file:
```
data_Li2CaC2
_cell_length_a 6.581
_cell_length_b 6.581
_cell_length_c 2.518
_cell_angle_alpha 90.00
_cell_angle_beta 90.00
_cell_angle_gamma 90.00
_symmetry_space_group_name_H-M 'P 4/m b m'
_symmetry_Int_Tables_number 127
_symmetry_space_group_name_Hall '-P 4 2ab'
loop_
_atom_site_label
_atom_site_fract_x
_atom_site_fract_y
_atom_site_fract_z
_atom_site_occupancy
Li1 0.116 0.384 0.000 1
Ca1 0.000 0.000 0.000 1
C1 0.179 0.679 0.500 1
```